A plane-wave DFT calculation with GGA+U was carried out for a relaxed structure of CoPbSO2.

Lattice parameters (Å, degrees): 3.7564 3.7564 5.6332 90.00 90.00 90.00
Last column: nearest neighbours and their distance in Å.
Space group P4/mmm (No. 123)
Inequivalent atoms, fractional coordinates:
Co  0.0000  0.0000  0.0000 [1 per cell]  4 Pb 2.66
Pb  0.5000  0.5000  0.0000 [1 per cell]  4 Co 2.66, 2 S 2.82
S  0.5000  0.5000  0.5000 [1 per cell]  4 O 1.88
O  0.0000  0.5000  0.5000 [2 per cell]  2 S 1.88

Properties
density of states at the Fermi level	2.4	states/eV/f.u.
crystal system	tetragonal
VASP energy	-4.1832	eV per atom